Record 1
A relaxed CaLa3 crystal. Source: the Alexandria database, functional PBE.

Summary:
- ΔE_f (meV per atom) = 203

The structure in extended XYZ format:
```
8
Lattice="-1.0731 5.6561 3.6029 -4.2454 2.2515 -4.7991 -5.1912 -3.0105 3.1799" Properties=species:S:1:pos:R:3 pbc="T T T"
Ca 0.0000 0.0000 0.0000
Ca -5.2549 2.4485 0.9918
La -2.9275 5.3678 0.3026
La -2.3910 2.5398 -1.4988
La -5.7796 0.1834 -2.0094
La -3.6569 -0.9424 0.3902
La -1.8344 2.0754 2.5964
La -4.4300 0.5701 4.1863
```



Record 2
A relaxed Y9In3O2 crystal. Source: the Alexandria database, functional PBE.

Summary:
- ΔE_f (raw) (kJ per mole of atoms) = -104.4

The structure in extended XYZ format:
```
14
Lattice="-2.5519 -6.3313 0.3829 6.7688 0.9563 -0.1153 0.0755 0.4765 8.3820" Properties=species:S:1:pos:R:3 pbc="T T T"
Y 5.2508 0.0485 5.5712
Y 1.8990 -0.4251 5.6283
Y 2.1084 -2.6875 0.1338
Y 2.3933 -4.4735 3.0213
Y 0.3052 -1.8118 2.8888
Y 3.9871 -3.0867 5.7608
Y -0.9585 -4.9470 3.0784
Y 3.3844 0.4781 -0.0577
Y -1.2760 -3.1656 0.1914
In 0.6053 -3.5840 5.8121
In 0.0000 0.0000 0.0000
In 3.6870 -1.3145 2.8374
O 0.5669 -3.8267 1.5434
O 3.7254 -1.0718 7.1062
```